Computed, not measured: crystalline LaGeH3 at its relaxed geometry at the PBE level of DFT.

Cell: 3.897 3.897 3.897 Å, 90.00 90.00 90.00°
Fractional coordinates of all 5 atoms:
La: 0.000 0.000 0.000
Ge: 0.500 0.500 0.500
H: 0.000 0.500 0.500
H: 0.500 0.000 0.500
H: 0.500 0.500 0.000

Summary:
Symmetry = Pm-3m
Crystal system = cubic
Total energy = -19.5 eV per cell
E above lowest polymorph = 0.0 kJ/mol of atoms